(1)
## NbCuTe2I (PBE)

Data for a geometry-optimized NbCuTe2I structure.

Cell and atoms, written as POSCAR:
```
NbCuTe2I
1.0
-4.650 -0.222 -2.687
0.456 -5.344 -0.348
-2.826 -0.563 4.937
Te I Cu Nb
2 1 1 1
Cartesian
0.228 -2.672 -0.174
-2.325 -0.111 -1.343
-1.413 -0.281 2.468
-3.510 -3.064 0.951
0.000 0.000 0.000
```

Crystal system: tetragonal
Mass density, Mg/m³: 5.42
ΔE to the lowest computed polymorph, meV per atom: 36
SG: No. 123

***

(2)
## SrYPd (PBE)

Data for a geometry-optimized SrYPd structure.

Cell and atoms, written as POSCAR:
```
SrYPd
1.0
3.831 0.000 0.000
-1.915 5.354 -2.553
0.000 -6.775 12.440
Sr Pd Y
2 2 2
Cartesian
0.000 -3.450 9.557
1.915 2.029 0.330
1.915 -1.114 8.391
0.000 -0.308 1.496
0.000 -1.531 6.361
1.915 0.110 3.526
```

ΔE_f, eV per atom: -0.35
Crystal system: monoclinic
Mass density, Mg/m³: 4.98
ΔE to the lowest computed polymorph, meV per atom: 109
SG: No. 12

***

(3)
## FeRe2Ag (PBE)

Data for a geometry-optimized FeRe2Ag structure.

Cell and atoms, written as POSCAR:
```
FeRe2Ag
1.0
-2.348 0.099 -1.298
-0.327 -0.130 2.661
0.128 9.057 0.458
Re Ag Fe
2 1 1
Cartesian
-1.308 2.102 0.789
0.127 8.974 0.453
0.065 4.630 0.234
-1.240 6.905 1.031
```

ΔE_f, eV per atom: 0.37
Crystal system: orthorhombic
Mass density, Mg/m³: 14.69
ΔE to the lowest computed polymorph, meV per atom: 88
SG: No. 35

***

(4)
## Tb2Er2Tm5 (PBE)

Data for a geometry-optimized Tb2Er2Tm5 structure.

Cell and atoms, written as POSCAR:
```
Tb2Er2Tm5
1.0
3.232 0.057 -1.437
-1.414 8.882 -2.824
-3.798 -4.638 13.051
Tm Er Tb
5 2 2
Cartesian
0.000 0.000 0.000
-1.193 2.220 6.116
-2.258 -0.602 7.965
-0.786 2.082 2.674
0.279 4.903 0.826
-2.737 -1.863 11.193
0.758 6.164 -2.403
1.380 -0.619 3.088
-3.359 4.920 5.703
```

ΔE_f, eV per atom: 0.03
Crystal system: triclinic
Mass density, Mg/m³: 9.00
ΔE to the lowest computed polymorph, meV per atom: 0
SG: No. 2

***

(5)
## LiPuGaNi (PBE)

Data for a geometry-optimized LiPuGaNi structure.

Cell and atoms, written as POSCAR:
```
LiPuGaNi
1.0
4.530 0.000 0.000
2.265 3.923 0.000
2.265 1.308 3.699
Ga Li Pu Ni
1 1 1 1
Cartesian
2.265 1.308 0.925
4.530 2.616 1.849
6.795 3.923 2.774
0.000 0.000 0.000
```

ΔE_f, eV per atom: -0.15
Crystal system: cubic
Mass density, Mg/m³: 9.58
SG: No. 216

***

(6)
## AcTl2Zn (PBE)

Data for a geometry-optimized AcTl2Zn structure.

Cell and atoms, written as POSCAR:
```
AcTl2Zn
1.0
-2.757 -3.331 -2.246
8.281 -4.132 -4.038
2.161 -3.911 8.432
Zn Tl Ac
4 8 4
Cartesian
7.269 -9.672 0.135
4.176 -3.578 0.180
3.509 -7.796 1.968
0.416 -1.702 2.013
6.440 -7.577 -1.956
6.365 -4.199 -1.587
1.319 -7.175 3.735
5.520 -9.668 2.275
2.165 -1.706 -0.128
1.244 -3.797 4.104
3.855 -5.100 2.831
3.830 -6.274 -0.683
2.762 -3.731 -3.142
-1.379 -1.665 -1.123
1.001 -4.902 0.756
6.684 -6.472 1.392
```

ΔE_f, eV per atom: -0.25
Crystal system: orthorhombic
Mass density, Mg/m³: 10.26
SG: No. 63

***

(7)
## Tb2IrRh (PBE)

Data for a geometry-optimized Tb2IrRh structure.

Cell and atoms, written as POSCAR:
```
Tb2IrRh
1.0
-1.672 -2.497 1.913
1.568 -3.363 -3.020
3.923 -0.576 2.677
Rh Tb Ir
1 2 1
Cartesian
1.910 -3.218 0.785
0.784 -1.682 -1.510
1.962 -0.288 1.339
-0.836 -1.248 0.956
```

ΔE_f, eV per atom: -0.82
Crystal system: tetragonal
Mass density, Mg/m³: 12.48
ΔE to the lowest computed polymorph, meV per atom: 18
SG: No. 123

***

(8)
## La2TaZn (PBE)

Data for a geometry-optimized La2TaZn structure.

Cell and atoms, written as POSCAR:
```
La2TaZn
1.0
-4.264 -2.830 -0.393
-0.822 -3.871 3.269
-3.674 0.387 3.563
La Ta Zn
2 1 1
Cartesian
0.000 0.000 0.000
-2.190 -1.578 1.610
-4.380 -3.157 3.219
-6.571 -4.735 4.829
```

ΔE_f, eV per atom: 0.42
Crystal system: cubic
Mass density, Mg/m³: 9.10
SG: No. 216

***

(9)
## Pr3ThSe4 (PBE)

Data for a geometry-optimized Pr3ThSe4 structure.

Cell and atoms, written as POSCAR:
```
Pr3ThSe4
1.0
-2.479 -2.413 -2.442
-1.699 -4.161 5.837
-4.838 5.529 -0.550
Se Pr Th
4 3 1
Cartesian
-1.617 0.338 1.308
-4.920 1.029 3.979
-5.298 1.916 -0.185
-3.718 -2.961 3.031
-2.419 2.764 -0.275
-4.508 -0.522 1.423
-0.850 -2.080 2.919
-1.240 -1.206 -1.221
```

Crystal system: orthorhombic
Mass density, Mg/m³: 7.43
ΔE to the lowest computed polymorph, meV per atom: 0
SG: No. 65

***

(10)
## LiGa2H2 (PBE)

Data for a geometry-optimized LiGa2H2 structure.

Cell and atoms, written as POSCAR:
```
LiGa2H2
1.0
3.706 0.000 0.000
0.000 3.706 0.000
1.853 1.853 5.362
Ga Li H
2 1 2
Cartesian
3.706 1.853 2.681
1.853 3.706 2.681
0.000 0.000 0.000
3.706 3.706 4.972
1.853 1.853 0.390
```

Crystal system: tetragonal
Mass density, Mg/m³: 3.35
ΔE to the lowest computed polymorph, meV per atom: 113
SG: No. 139

***

(11)
## BeTcSe2 (PBE)

Data for a geometry-optimized BeTcSe2 structure.

Cell and atoms, written as POSCAR:
```
BeTcSe2
1.0
4.131 -0.001 0.000
2.713 3.116 0.000
-0.228 -0.104 5.573
Tc Se Be
1 2 1
Cartesian
4.962 2.259 4.180
0.199 0.091 5.414
2.881 1.311 2.946
1.654 0.753 1.393
```

Crystal system: monoclinic
Mass density, Mg/m³: 6.13
Total DFT energy (no corrections), eV per formula unit: -20.56
SG: No. 12

***

(12)
## Zn2SiAg (PBE)

Data for a geometry-optimized Zn2SiAg structure.

Cell and atoms, written as POSCAR:
```
Zn2SiAg
1.0
4.523 0.000 0.000
0.000 4.523 0.000
0.000 0.000 3.165
Si Zn Ag
1 2 1
Cartesian
0.000 2.262 1.582
2.262 2.262 0.000
0.000 0.000 0.000
2.262 0.000 1.582
```

Crystal system: tetragonal
Mass density, Mg/m³: 6.84
Total DFT energy (no corrections), eV per formula unit: -9.90
SG: No. 123

***

(13)
## ReF (PBE)

Data for a geometry-optimized ReF structure.

Cell and atoms, written as POSCAR:
```
ReF
1.0
8.145 0.000 0.000
0.000 8.760 0.000
0.000 0.000 6.474
F Re
16 16
Cartesian
6.108 0.946 4.856
0.000 1.243 3.237
2.036 7.813 4.856
4.072 3.136 3.237
4.072 1.243 0.000
6.108 7.813 1.619
6.108 5.326 1.619
4.072 5.623 3.237
2.036 3.433 1.619
4.072 7.516 0.000
0.000 7.516 3.237
2.036 0.946 1.619
0.000 3.136 0.000
6.108 3.433 4.856
2.036 5.326 4.856
0.000 5.623 0.000
2.955 4.380 0.000
5.189 4.380 0.000
0.919 6.570 1.619
4.992 6.570 4.856
3.153 2.190 4.856
0.919 2.190 4.856
1.117 0.000 0.000
7.225 6.570 4.856
5.189 0.000 3.237
2.955 0.000 3.237
7.028 4.380 3.237
4.992 2.190 1.619
7.028 0.000 0.000
7.225 2.190 1.619
1.117 4.380 3.237
3.153 6.570 1.619
```

Crystal system: orthorhombic
Mass density, Mg/m³: 11.80
ΔE to the lowest computed polymorph, meV per atom: 618
SG: No. 70

***

(14)
## Th8Fe2Tc (PBE)

Data for a geometry-optimized Th8Fe2Tc structure.

Cell and atoms, written as POSCAR:
```
Th8Fe2Tc
1.0
-0.955 5.628 1.998
-5.642 -0.393 -5.126
-0.947 -3.752 6.579
Th Tc Fe
8 1 2
Cartesian
-2.537 -0.555 0.859
-2.658 2.726 -0.016
-4.882 -1.522 3.354
-6.064 -0.676 0.406
-5.431 4.494 -0.659
-1.455 1.865 2.984
-4.947 1.936 2.540
-2.768 2.588 5.980
-6.698 -3.401 1.710
-4.989 1.341 -0.607
-3.057 -0.041 4.208
```

ΔE_f, eV per atom: 0.04
Crystal system: monoclinic
Mass density, Mg/m³: 11.49
SG: No. 8

***

(15)
## ScFe2Cu (PBE)

Data for a geometry-optimized ScFe2Cu structure.

Cell and atoms, written as POSCAR:
```
ScFe2Cu
1.0
-1.707 -1.182 8.593
1.022 -0.997 8.724
-0.507 1.276 8.733
Cu Sc Fe
1 1 2
Cartesian
-0.894 -0.678 19.537
-0.298 -0.226 6.512
-0.006 -0.004 0.127
-0.590 -0.447 12.898
```

ΔE_f, eV per atom: 0.35
Crystal system: trigonal
Mass density, Mg/m³: 6.47
SG: No. 166

***

(16)
## Ta2InAs (PBE)

Data for a geometry-optimized Ta2InAs structure.

Cell and atoms, written as POSCAR:
```
Ta2InAs
1.0
-2.557 -1.164 -0.656
1.332 -2.122 -1.430
0.336 -5.565 8.568
Ta As In
2 1 1
Cartesian
0.008 -0.130 0.199
-0.530 -3.014 1.067
0.149 -2.465 3.794
-0.348 -6.026 5.705
```

ΔE_f, eV per atom: 0.15
Crystal system: tetragonal
Mass density, Mg/m³: 10.77
ΔE to the lowest computed polymorph, meV per atom: 179
SG: No. 99

***

(17)
## LaAlHg (PBE)

Data for a geometry-optimized LaAlHg structure.

Cell and atoms, written as POSCAR:
```
LaAlHg
1.0
-5.336 6.324 -1.337
-1.729 -2.046 -2.780
-2.994 -1.845 3.220
Al Hg La
2 2 2
Cartesian
-8.322 3.033 -0.618
-6.601 0.994 -0.186
-4.234 0.885 -1.579
-2.359 -1.337 -1.109
-3.929 -0.125 1.658
-5.100 3.959 -0.621
```

ΔE_f, eV per atom: -0.47
Crystal system: orthorhombic
Mass density, Mg/m³: 7.89
SG: No. 47

***

(18)
## ZrTl2Cu (PBE)

Data for a geometry-optimized ZrTl2Cu structure.

Cell and atoms, written as POSCAR:
```
ZrTl2Cu
1.0
5.338 0.020 -0.021
-1.448 5.138 -0.021
0.011 0.014 3.185
Tl Zr Cu
2 1 1
Cartesian
0.000 0.000 0.000
1.945 2.579 -0.021
2.675 0.017 1.582
-0.719 2.576 1.582
```

ΔE_f, eV per atom: 0.18
Crystal system: orthorhombic
Mass density, Mg/m³: 10.70
ΔE to the lowest computed polymorph, meV per atom: 102
SG: No. 65

***

(19)
## ReTcAu2 (PBE)

Data for a geometry-optimized ReTcAu2 structure.

Cell and atoms, written as POSCAR:
```
ReTcAu2
1.0
-2.055 -1.535 4.303
0.578 -2.514 4.294
1.367 3.651 2.862
Re Tc Au
1 1 2
Cartesian
-0.082 -0.298 8.594
-0.027 -0.099 2.865
1.365 3.646 2.864
-0.053 -0.194 5.727
```

ΔE_f, eV per atom: 0.47
Crystal system: monoclinic
Mass density, Mg/m³: 17.49
ΔE to the lowest computed polymorph, meV per atom: 331
SG: No. 12

***

(20)
## Dy4HoTm7 (PBE)

Data for a geometry-optimized Dy4HoTm7 structure.

Cell and atoms, written as POSCAR:
```
Dy4HoTm7
1.0
-0.640 3.882 -4.225
-6.197 -5.363 -7.935
-5.333 3.917 0.462
Ho Tm Dy
1 7 4
Cartesian
0.000 0.000 0.000
-0.320 1.941 -2.113
-5.287 -2.655 -5.584
-4.745 0.679 -6.547
-8.898 0.060 -10.432
-3.271 2.376 -1.266
-6.882 5.091 -6.114
-7.425 1.757 -5.150
-8.954 2.454 -8.224
-4.466 3.230 -4.246
-3.216 -0.018 -3.474
-7.704 -0.794 -7.452
```

ΔE_f, eV per atom: 0.30
Crystal system: monoclinic
Mass density, Mg/m³: 8.72
ΔE to the lowest computed polymorph, meV per atom: 209
SG: No. 12